{"formula": "TmTlTe3Au", "functional": "PBE", "state": "optimized geometry", "sg": "P2_1/m", "e_tot_ev_per_atom": -3.9126, "cell": [[8.8148, 0.0000, 0.0000], [0.0000, 4.1819, 0.0000], [-3.8368, 0.0000, 10.2069]], "species": ["Tm", "Tm", "Tl", "Tl", "Te", "Te", "Te", "Te", "Te", "Te", "Au", "Au"], "frac_coords": [[0.1962, 0.2500, 0.1586], [0.8038, 0.7500, 0.8414], [0.2385, 0.7500, 0.7077], [0.7615, 0.2500, 0.2923], [0.0632, 0.2500, 0.8615], [0.2415, 0.2500, 0.4497], [0.4393, 0.7500, 0.1449], [0.5607, 0.2500, 0.8551], [0.7585, 0.7500, 0.5503], [0.9368, 0.7500, 0.1385], [0.4136, 0.7500, 0.3883], [0.5864, 0.2500, 0.6117]]}